[1]
LaInHg2 | GGA-PBEsol | optimized geometry

Values from the calculation:
Polymorph energy (0 for the lowest one) (eV per formula unit): 0.36
Density of states at the Fermi level (states/eV per atom): 0.721
Raw total energy (eV/atom): -2.824
Theoretical density (g cm⁻³): 10.712
ΔH_f (0 K) (eV per atom): -0.458

Lattice parameters (Å, degrees): 4.468 4.767 4.767 90.00 90.00 90.00
Fractional positions:
Hg (0.000, 0.000, 0.500)
Hg (0.000, 0.500, 0.000)
In (0.500, 0.500, 0.500)
La (0.500, 0.000, 0.000)

=====

[2]
Pr2ZnBi4 | GGA-PBEsol | optimized geometry

Values from the calculation:
Density of states at the Fermi level (states/eV per atom): 0.322
Raw total energy (eV/atom): -4.760
Theoretical density (g cm⁻³): 9.670
ΔH_f (0 K) (eV per atom): -0.603

Lattice parameters (Å, degrees): 4.555 4.555 9.794 90.00 90.00 90.00
Fractional positions:
Zn (0.500, 0.500, 0.500)
Bi (0.500, 0.000, 0.342)
Bi (0.000, 0.000, 0.000)
Bi (0.500, 0.500, 0.000)
Bi (0.000, 0.500, 0.658)
Pr (0.000, 0.500, 0.261)
Pr (0.500, 0.000, 0.739)

=====

[3]
Tc2PBr | GGA-PBEsol | optimized geometry

Values from the calculation:
Polymorph energy (0 for the lowest one) (eV per formula unit): 0.00
Density of states at the Fermi level (states/eV per atom): 0.843
Formation energy (no corrections) (eV per atom): 0.14
Raw total energy (eV/atom): -7.413
Theoretical density (g cm⁻³): 8.891

Lattice parameters (Å, degrees): 2.993 2.993 6.397 90.00 90.00 90.00
Fractional positions:
P (0.500, 0.500, 0.500)
Br (0.500, 0.500, 0.000)
Tc (0.000, 0.000, 0.705)
Tc (0.000, 0.000, 0.295)

=====

[4]
Gd2HfO5 | GGA-PBEsol | optimized geometry

Values from the calculation:
Polymorph energy (0 for the lowest one) (eV per formula unit): 0.07
Density of states at the Fermi level (states/eV per atom): 0.000
Formation energy (no corrections) (eV per atom): -3.51
Raw total energy (eV/atom): -11.717
Theoretical density (g cm⁻³): 8.352

Lattice parameters (Å, degrees): 5.473 6.570 7.623 111.61 90.00 114.61
Last column: magnetic moment on the atom in μB.
Fractional positions:
Hf (0.000, 0.000, 0.000)  0.01
Hf (0.000, 0.000, 0.500)  0.01
Gd (0.653, 0.283, 0.760)  6.89
Gd (0.630, 0.283, 0.260)  6.89
Gd (0.347, 0.717, 0.240)  6.89
Gd (0.370, 0.717, 0.740)  6.89
O (0.014, 0.343, 0.143)  0.00
O (0.671, 0.657, 0.357)  0.00
O (0.171, 0.000, 0.250)  0.00
O (0.986, 0.657, 0.857)  0.00
O (0.751, 0.149, 0.460)  0.00
O (0.398, 0.149, 0.960)  0.00
O (0.602, 0.851, 0.040)  0.00
O (0.329, 0.343, 0.643)  0.00
O (0.829, 0.000, 0.750)  0.00
O (0.249, 0.851, 0.540)  0.00

=====

Table of V (A^3/atom), in record order: 25.4, 29.0, 14.3, 14.2